# LaGaSe2

An optimized crystal structure of LaGaSe2 (PBE-GGA, Alexandria).

## Properties
Space group: C2/m
Size of the total moment in Bohr magnetons per cell: 0.0
Uncorrected formation energy in eV/atom: -1.312
Calculated total energy in hartree per atom: -0.185

a = 7.768 Å, b = 4.381 Å, c = 14.388 Å
α = 90.00°, β = 100.78°, γ = 90.00°
Atoms (fractional coordinates):
Se: 0.994 0.000 0.132
Se: 0.006 0.000 0.868
Se: 0.994 0.500 0.632
Se: 0.006 0.500 0.368
Se: 0.580 0.000 0.650
Se: 0.420 0.000 0.350
Se: 0.580 0.500 0.150
Se: 0.420 0.500 0.850
Ga: 0.800 0.000 0.527
Ga: 0.200 0.000 0.473
Ga: 0.800 0.500 0.027
Ga: 0.200 0.500 0.973
La: 0.759 0.000 0.277
La: 0.241 0.000 0.723
La: 0.759 0.500 0.777
La: 0.241 0.500 0.223